Record 1
The following is a GGA-PBE calculation of a relaxed Tb2CeNd12 crystal, from Alexandria via LeMat-Bulk.

Computed properties:
DFT formation energy = 7.58 kcal/mol of atoms
SG = No. 125
Total energy = -134.95 eV for the cell shown

Cell and atoms, written as POSCAR:
```
Tb2CeNd12
1.0
6.5744 0.0000 0.0000
0.0000 6.5744 0.0000
0.0000 0.0000 25.5945
Tb Ce Nd
4 2 24
Cartesian
1.6436 4.9308 5.8399
1.6436 4.9308 19.7546
4.9308 1.6436 5.8399
4.9308 1.6436 19.7546
1.6436 4.9308 12.7973
4.9308 1.6436 12.7973
0.4381 3.7253 9.8976
0.4381 6.1363 15.6969
0.5376 3.8248 1.5981
0.5376 6.0368 23.9964
1.6436 1.6436 4.1744
1.6436 1.6436 7.3042
1.6436 1.6436 18.2903
1.6436 1.6436 21.4201
2.7496 3.8248 23.9964
2.7496 6.0368 1.5981
2.8491 3.7253 15.6969
2.8491 6.1363 9.8976
3.7253 0.4381 15.6969
3.7253 2.8491 9.8976
3.8248 0.5376 23.9964
3.8248 2.7496 1.5981
4.9308 4.9308 4.1744
4.9308 4.9308 7.3042
4.9308 4.9308 18.2903
4.9308 4.9308 21.4201
6.0368 0.5376 1.5981
6.0368 2.7496 23.9964
6.1363 0.4381 9.8976
6.1363 2.8491 15.6969
```

=====

Record 2
The following is a GGA-PBE calculation of a relaxed CsFe2NiCl8 crystal, from Alexandria via LeMat-Bulk.

Computed properties:
SG = No. 12
Total energy = -49.51 eV for the cell shown

Cell and atoms, written as POSCAR:
```
CsFe2NiCl8
1.0
5.1711 -3.5214 0.0000
5.1711 3.5214 0.0000
-1.4999 0.0000 9.7667
Cs Fe Ni Cl
1 2 1 8
Cartesian
0.0000 0.0000 0.0000
2.9722 0.0000 6.7643
5.8701 0.0000 3.0025
-0.7499 0.0000 4.8834
4.5107 1.8052 3.1060
1.6389 0.0000 4.9742
4.3316 1.8052 6.6607
1.9922 0.0000 8.7513
6.8500 0.0000 1.0154
4.5107 -1.8052 3.1060
7.2033 0.0000 4.7925
4.3316 -1.8052 6.6607
```